(1)
# Re2MoSeCl (GGA-PBE, relaxed)
# Raw formation energy in eV per atom: 1.732
data_Re2MoSeCl
_cell_length_a 4.8546
_cell_length_b 4.8546
_cell_length_c 4.5969
_cell_angle_alpha 90.00
_cell_angle_beta 90.00
_cell_angle_gamma 90.00
_space_group_name_H-M_alt 'P 4/m m m'
_space_group_IT_number 123
_space_group_name_Hall '-P 4 2'
loop_
_atom_site_label
_atom_site_fract_x
_atom_site_fract_y
_atom_site_fract_z
Re1 0.0000 0.5000 0.0000
Mo1 0.0000 0.0000 0.0000
Se1 0.5000 0.5000 0.5000
Cl1 0.0000 0.0000 0.5000

(2)
# Ac3PbSe6 (GGA-PBE, relaxed)
# Raw formation energy in eV per atom: -1.576
data_Ac3PbSe6
_cell_length_a 12.0468
_cell_length_b 15.1518
_cell_length_c 7.5166
_cell_angle_alpha 90.00
_cell_angle_beta 90.00
_cell_angle_gamma 90.00
_space_group_name_H-M_alt 'C m c 21'
_space_group_IT_number 36
loop_
_space_group_symop_operation_xyz
'x,y,z'
'-x,-y,z+1/2'
'-x,y,z'
'x,-y,z+1/2'
'x+1/2,y+1/2,z'
'-x+1/2,-y+1/2,z+1/2'
'-x+1/2,y+1/2,z'
'x+1/2,-y+1/2,z+1/2'
loop_
_atom_site_label
_atom_site_fract_x
_atom_site_fract_y
_atom_site_fract_z
Ac1 0.0000 0.1000 0.0000
Ac2 0.1873 0.3998 0.9264
Pb1 0.0000 0.3058 0.3868
Se1 0.0000 0.2792 0.7694
Se2 0.0000 0.4744 0.2119
Se3 0.1607 0.0241 0.7139
Se4 0.1741 0.2326 0.1893

(3)
# Al3Ga2 (GGA-PBE, relaxed)
# Energy above the lowest structure with this stoichiometry in eV/atom: 0.000
# ΔH_f (0 K) in eV per atom: 0.020
data_Al3Ga2
_cell_length_a 2.8730
_cell_length_b 2.8730
_cell_length_c 36.2635
_cell_angle_alpha 90.00
_cell_angle_beta 90.00
_cell_angle_gamma 120.00
_space_group_name_H-M_alt 'R -3 m'
_space_group_IT_number 166
_space_group_name_Hall '-R 3 2"'
loop_
_atom_site_label
_atom_site_fract_x
_atom_site_fract_y
_atom_site_fract_z
Al1 0.0000 0.0000 0.0000
Al2 0.0000 0.0000 0.1993
Ga1 0.0000 0.0000 0.4002